(1)
DFT (PBE) results for a relaxed Ca5SnHg4 crystal.

Properties
Fermi-level density of states: 6.671 states/eV per cell
Formation energy from the elements: -570 meV/atom

a b c (Å): 3.777 3.777 19.225
angles (deg): 90.00 90.00 90.00
Space group P4/mmm (No. 123)
Inequivalent atoms, fractional coordinates:
Ca  0.000  0.000  0.000
Ca  0.000  0.000  0.198
Ca  0.000  0.000  0.395
Sn  0.500  0.500  0.500
Hg  0.500  0.500  0.098
Hg  0.500  0.500  0.296

---

(2)
DFT (PBE) results for a relaxed PbSeBr2 crystal.

Properties
Fermi-level density of states: 0.000 states/eV per cell
Formation energy (no corrections): -402 meV/atom
Energy relative to the lowest polymorph listed for this composition: 0.062 eV/atom

a b c (Å): 4.464 4.464 7.775
angles (deg): 90.00 90.00 90.00
Space group P4mm (No. 99)
Inequivalent atoms, fractional coordinates:
Pb  0.000  0.000  0.000
Se  0.500  0.500  0.994
Br  0.000  0.000  0.342
Br  0.500  0.500  0.690

---

(3)
DFT (PBE) results for a relaxed TlCrRe2 crystal.

Properties
Fermi-level density of states: 11.524 states/eV per cell
Formation energy from the elements: 1105 meV/atom
Energy relative to the lowest polymorph listed for this composition: 0.590 eV/atom

a b c (Å): 3.901 3.901 19.470
angles (deg): 90.00 90.00 90.00
Space group I-42d (No. 122)
Inequivalent atoms, fractional coordinates:
Tl  0.000  0.000  0.000
Cr  0.000  0.000  0.500
Re  0.187  0.250  0.625

---

(4)
DFT (PBE) results for a relaxed K2NaTbI6 crystal.

Properties
Fermi-level density of states: 0.000 states/eV per cell
Formation energy (no corrections): -1400 meV/atom

a b c (Å): 8.5260 8.5260 21.4879
angles (deg): 90.00 90.00 120.00
Space group R3 (No. 146, hexagonal axes)
Inequivalent atoms, fractional coordinates:
K  0.0000  0.0000  0.0000
K  0.0000  0.0000  0.4935
Na  0.0000  0.0000  0.2097
Tb  0.0000  0.0000  0.7051
I  0.0091  0.4078  0.4511
I  0.0749  0.7217  0.2874

---

(5)
DFT (PBE) results for a relaxed PbBr2Cl6 crystal.

Properties
Formation energy (no corrections): -243 meV/atom

a b c (Å): 4.095 9.633 9.842
angles (deg): 102.56 93.35 93.38
Space group P-1 (No. 2)
Inequivalent atoms, fractional coordinates:
Pb  0.000  0.000  0.000
Br  0.499  0.866  0.127
Cl  0.007  0.280  0.548
Cl  0.007  0.559  0.287
Cl  0.055  0.204  0.204

---

(6)
DFT (PBE) results for a relaxed Al2CdSCl crystal.

Properties
Fermi-level density of states: 1.296 states/eV per cell
Formation energy (no corrections): 541 meV/atom

a b c (Å): 5.190 5.190 4.867
angles (deg): 90.00 90.00 90.00
Space group P4/mmm (No. 123)
Inequivalent atoms, fractional coordinates:
Al  0.000  0.500  0.000
Cd  0.000  0.000  0.500
S  0.500  0.500  0.500
Cl  0.500  0.500  0.000

---

(7)
DFT (PBE) results for a relaxed ScFe2Rh crystal.

Properties
Fermi-level density of states: 7.797 states/eV per cell
Formation energy from the elements: -238 meV/atom

a b c (Å): 4.332 4.332 6.098
angles (deg): 90.00 90.00 90.00
Space group I-4m2 (No. 119)
Inequivalent atoms, fractional coordinates:
Sc  0.000  0.000  0.000
Fe  0.000  0.000  0.500
Fe  0.000  0.500  0.250
Rh  0.000  0.500  0.750

---

(8)
DFT (PBE) results for a relaxed CeAl2Re crystal.

Properties
Fermi-level density of states: 16.860 states/eV per cell
Formation energy from the elements: -88 meV/atom

a b c (Å): 4.3277 4.3277 15.1344
angles (deg): 90.00 90.00 120.00
Space group R-3m (No. 166, hexagonal axes)
Inequivalent atoms, fractional coordinates:
Ce  0.0000  0.0000  0.0000
Al  0.0000  0.0000  0.2095
Re  0.0000  0.0000  0.5000

---

In order of appearance, DFT total energy = -20.92, -12.15, -129.86, -94.34, -20.32, -11.67, -63.12, -78.65 eV/cell.